1.
# MnInCo2, optimized geometry, DFT PBE
data_MnInCo2
_symmetry_space_group_name_H-M 'P 1'
_symmetry_Int_Tables_number 1
_cell_length_a 8.3758
_cell_length_b 8.3758
_cell_length_c 8.3758
_cell_angle_alpha 19.82
_cell_angle_beta 19.82
_cell_angle_gamma 19.82
loop_
_symmetry_equiv_pos_as_xyz
'x,y,z'
loop_
_atom_site_label
_atom_site_type_symbol
_atom_site_fract_x
_atom_site_fract_y
_atom_site_fract_z
Mn1 Mn 0.0000 0.0000 0.0000
In1 In 0.2365 0.2365 0.2365
Co1 Co 0.4809 0.4809 0.4809
Co2 Co 0.7425 0.7425 0.7425
# * total energy: -6.13 eV per atom

=====

2.
# GaNiMo, optimized geometry, DFT PBE
data_GaNiMo
_symmetry_space_group_name_H-M 'P 1'
_symmetry_Int_Tables_number 1
_cell_length_a 6.3318
_cell_length_b 6.3318
_cell_length_c 3.8974
_cell_angle_alpha 90.00
_cell_angle_beta 90.00
_cell_angle_gamma 148.24
loop_
_symmetry_equiv_pos_as_xyz
'x,y,z'
loop_
_atom_site_label
_atom_site_type_symbol
_atom_site_fract_x
_atom_site_fract_y
_atom_site_fract_z
Ga1 Ga 0.0767 0.9233 0.7500
Ga2 Ga 0.9233 0.0767 0.2500
Ni1 Ni 0.4194 0.5806 0.7500
Ni2 Ni 0.5806 0.4194 0.2500
Mo1 Mo 0.2501 0.7499 0.2500
Mo2 Mo 0.7499 0.2501 0.7500
# * total energy: -6.72 eV per atom

=====

3.
# Sm6Dy4Zr, optimized geometry, DFT PBE
data_Sm6Dy4Zr
_symmetry_space_group_name_H-M 'P 1'
_symmetry_Int_Tables_number 1
_cell_length_a 8.7303
_cell_length_b 8.7303
_cell_length_c 9.2024
_cell_angle_alpha 90.00
_cell_angle_beta 90.00
_cell_angle_gamma 90.00
loop_
_symmetry_equiv_pos_as_xyz
'x,y,z'
loop_
_atom_site_label
_atom_site_type_symbol
_atom_site_fract_x
_atom_site_fract_y
_atom_site_fract_z
Sm1 Sm 0.0000 0.0000 0.1767
Sm2 Sm 0.0000 0.0000 0.8233
Sm3 Sm 0.1485 0.3444 0.5000
Sm4 Sm 0.1556 0.3515 0.0000
Sm5 Sm 0.3444 0.8515 0.5000
Sm6 Sm 0.3515 0.8444 0.0000
Sm7 Sm 0.5000 0.5000 0.3233
Sm8 Sm 0.5000 0.5000 0.6767
Sm9 Sm 0.6485 0.1556 0.0000
Sm10 Sm 0.6556 0.1485 0.5000
Sm11 Sm 0.8444 0.6485 0.0000
Sm12 Sm 0.8515 0.6556 0.5000
Dy1 Dy 0.1465 0.6465 0.2500
Dy2 Dy 0.1465 0.6465 0.7500
Dy3 Dy 0.3535 0.1465 0.2500
Dy4 Dy 0.3535 0.1465 0.7500
Dy5 Dy 0.6465 0.8535 0.2500
Dy6 Dy 0.6465 0.8535 0.7500
Dy7 Dy 0.8535 0.3535 0.2500
Dy8 Dy 0.8535 0.3535 0.7500
Zr1 Zr 0.0000 0.0000 0.5000
Zr2 Zr 0.5000 0.5000 0.0000
# * total energy: -4.87 eV per atom

=====

4.
# Pa2AlCuN5, optimized geometry, DFT PBE
data_Pa2AlCuN5
_symmetry_space_group_name_H-M 'P 1'
_symmetry_Int_Tables_number 1
_cell_length_a 6.5626
_cell_length_b 6.5626
_cell_length_c 10.0072
_cell_angle_alpha 90.00
_cell_angle_beta 90.00
_cell_angle_gamma 150.43
loop_
_symmetry_equiv_pos_as_xyz
'x,y,z'
loop_
_atom_site_label
_atom_site_type_symbol
_atom_site_fract_x
_atom_site_fract_y
_atom_site_fract_z
Pa1 Pa 0.0963 0.9037 0.5000
Pa2 Pa 0.1493 0.8507 0.1263
Pa3 Pa 0.8507 0.1493 0.6263
Pa4 Pa 0.9037 0.0963 0.0000
Al1 Al 0.2036 0.7964 0.8320
Al2 Al 0.7964 0.2036 0.3320
Cu1 Cu 0.4715 0.5285 0.2863
Cu2 Cu 0.5285 0.4715 0.7863
N1 N 0.0615 0.9385 0.9027
N2 N 0.2744 0.7256 0.5004
N3 N 0.3145 0.6855 0.2156
N4 N 0.3615 0.6385 0.8293
N5 N 0.4874 0.5126 0.5994
N6 N 0.5126 0.4874 0.0993
N7 N 0.6385 0.3615 0.3293
N8 N 0.6855 0.3145 0.7156
N9 N 0.7256 0.2744 0.0004
N10 N 0.9385 0.0615 0.4027
# * formation energy (no corrections): -0.908 eV per atom
# * total energy: -8.51 eV per atom

=====

- Which formula does entry 3 have?
  Sm6Dy4Zr

=====

- What is the total energy in the second record?
  -6.72 eV per atom